[1]
Below is KMnIn after structural relaxation, with properties calculated at the PBE level.

CIF file:
```
data_KMnIn
_chemical_formula_sum 'K1 Mn1 In1'
_space_group_name_H-M_alt 'P 3 m 1'
_space_group_IT_number 156
_cell_length_a 3.4325
_cell_length_b 3.4325
_cell_length_c 8.2676
_cell_angle_alpha 90.00
_cell_angle_beta 90.00
_cell_angle_gamma 120.00
loop_
_space_group_symop_operation_xyz
'x,y,z'
'-y,x-y,z'
'-x+y,-x,z'
'-y,-x,z'
'-x+y,y,z'
'x,x-y,z'
loop_
_atom_site_label
_atom_site_fract_x
_atom_site_fract_y
_atom_site_fract_z
_atom_site_occupancy
K1 0.0000 0.0000 0.0000 1
Mn1 0.6667 0.3333 0.3729 1
In1 0.3333 0.6667 0.6313 1
```

Volume ... 84.4 Å³ per cell
VASP energy ... -11.23 eV/f.u.
Formation enthalpy at 0 K ... 0.59 eV/atom
Distance to the lowest polymorph of the same formula ... 219.0 meV per atom

=====

[2]
Below is NaBi2Ir after structural relaxation, with properties calculated at the PBE level.

CIF file:
```
data_NaBi2Ir
_chemical_formula_sum 'Na4 Bi8 Ir4'
_space_group_name_H-M_alt 'I -4 2 d'
_space_group_IT_number 122
_space_group_name_Hall 'I -4 2bw'
_cell_length_a 8.734
_cell_length_b 8.734
_cell_length_c 6.011
_cell_angle_alpha 90.00
_cell_angle_beta 90.00
_cell_angle_gamma 90.00
loop_
_atom_site_label
_atom_site_fract_x
_atom_site_fract_y
_atom_site_fract_z
_atom_site_occupancy
Na1 0.000 0.000 0.000 1
Bi1 0.160 0.250 0.625 1
Ir1 0.000 0.000 0.500 1
```

Volume ... 458.5 Å³ per cell
VASP energy ... -17.56 eV/f.u.
Formation enthalpy at 0 K ... 0.10 eV/atom
Distance to the lowest polymorph of the same formula ... 127.1 meV per atom

=====

[3]
Below is YLuMgPt after structural relaxation, with properties calculated at the PBE level.

CIF file:
```
data_YLuMgPt
_chemical_formula_sum 'Y4 Lu4 Mg4 Pt4'
_space_group_name_H-M_alt 'F -4 3 m'
_space_group_IT_number 216
_space_group_name_Hall 'F -4 2 3'
_cell_length_a 7.124
_cell_length_b 7.124
_cell_length_c 7.124
_cell_angle_alpha 90.00
_cell_angle_beta 90.00
_cell_angle_gamma 90.00
loop_
_atom_site_label
_atom_site_fract_x
_atom_site_fract_y
_atom_site_fract_z
_atom_site_occupancy
Y1 0.000 0.000 0.000 1
Lu1 0.000 0.000 0.500 1
Mg1 0.250 0.250 0.750 1
Pt1 0.250 0.250 0.250 1
```

Volume ... 361.6 Å³ per cell
VASP energy ... -21.11 eV/f.u.
Formation enthalpy at 0 K ... -0.62 eV/atom

=====

[4]
Below is PmY5Ag6 after structural relaxation, with properties calculated at the PBE level.

CIF file:
```
data_PmY5Ag6
_chemical_formula_sum 'Pm2 Y10 Ag12'
_space_group_name_H-M_alt 'C m m m'
_space_group_IT_number 65
_space_group_name_Hall '-C 2 2'
_cell_length_a 5.195
_cell_length_b 15.597
_cell_length_c 7.267
_cell_angle_alpha 90.00
_cell_angle_beta 90.00
_cell_angle_gamma 90.00
loop_
_atom_site_label
_atom_site_fract_x
_atom_site_fract_y
_atom_site_fract_z
_atom_site_occupancy
Pm1 0.000 0.000 0.000 1
Y1 0.000 0.000 0.500 1
Y2 0.000 0.333 0.000 1
Y3 0.000 0.334 0.500 1
Ag1 0.000 0.169 0.253 1
Ag2 0.000 0.500 0.255 1
```

Volume ... 588.8 Å³ per cell
VASP energy ... -58.02 eV/f.u.
Formation enthalpy at 0 K ... -0.32 eV/atom

=====

[5]
Below is Fe3Co5 after structural relaxation, with properties calculated at the PBE level.

CIF file:
```
data_Fe3Co5
_chemical_formula_sum 'Fe3 Co5'
_space_group_name_H-M_alt 'P 1 2/m 1'
_space_group_IT_number 10
_cell_length_a 4.679
_cell_length_b 4.016
_cell_length_c 4.903
_cell_angle_alpha 90.00
_cell_angle_beta 99.89
_cell_angle_gamma 90.00
loop_
_space_group_symop_operation_xyz
'x,y,z'
'-x,-y,-z'
'-x,y,-z'
'x,-y,z'
loop_
_atom_site_label
_atom_site_fract_x
_atom_site_fract_y
_atom_site_fract_z
_atom_site_occupancy
Fe1 0.000 0.000 0.000 1
Fe2 0.251 0.500 0.873 1
Co1 0.000 0.000 0.500 1
Co2 0.247 0.500 0.373 1
Co3 0.499 0.000 0.253 1
```

Volume ... 90.8 Å³ per cell
VASP energy ... -60.79 eV/f.u.
Formation enthalpy at 0 K ... 0.02 eV/atom

=====

[6]
Below is Th3BiRu after structural relaxation, with properties calculated at the PBE level.

CIF file:
```
data_Th3BiRu
_chemical_formula_sum 'Th12 Bi4 Ru4'
_space_group_name_H-M_alt 'P n m a'
_space_group_IT_number 62
_cell_length_a 8.930
_cell_length_b 4.349
_cell_length_c 15.313
_cell_angle_alpha 90.00
_cell_angle_beta 90.00
_cell_angle_gamma 90.00
loop_
_space_group_symop_operation_xyz
'x,y,z'
'-x,-y,-z'
'-x+1/2,-y,z+1/2'
'x+1/2,y,-z+1/2'
'x+1/2,-y+1/2,-z+1/2'
'-x+1/2,y+1/2,z+1/2'
'-x,y+1/2,-z'
'x,-y+1/2,z'
loop_
_atom_site_label
_atom_site_fract_x
_atom_site_fract_y
_atom_site_fract_z
_atom_site_occupancy
Th1 0.026 0.250 0.105 1
Th2 0.155 0.250 0.504 1
Th3 0.191 0.750 0.282 1
Bi1 0.090 0.750 0.674 1
Ru1 0.175 0.250 0.937 1
```

Volume ... 594.7 Å³ per cell
VASP energy ... -37.81 eV/f.u.
Formation enthalpy at 0 K ... -0.48 eV/atom
Distance to the lowest polymorph of the same formula ... 0.0 meV per atom

=====

[7]
Below is UB2C after structural relaxation, with properties calculated at the PBE level.

CIF file:
```
data_UB2C
_chemical_formula_sum 'U9 B18 C9'
_space_group_name_H-M_alt 'R -3 m'
_space_group_IT_number 166
_space_group_name_Hall '-R 3 2"'
_cell_length_a 6.5426
_cell_length_b 6.5426
_cell_length_c 10.6880
_cell_angle_alpha 90.00
_cell_angle_beta 90.00
_cell_angle_gamma 120.00
loop_
_atom_site_label
_atom_site_fract_x
_atom_site_fract_y
_atom_site_fract_z
_atom_site_occupancy
U1 0.0000 0.0000 0.0000 1
U2 0.0000 0.0000 0.3103 1
B1 0.0000 0.2709 0.5000 1
C1 0.0000 0.5000 0.5000 1
```

Volume ... 396.2 Å³ per cell
VASP energy ... -35.41 eV/f.u.
Formation enthalpy at 0 K ... -0.39 eV/atom

=====

[8]
Below is ReRu2Rh2 after structural relaxation, with properties calculated at the PBE level.

CIF file:
```
data_ReRu2Rh2
_chemical_formula_sum 'Re2 Ru4 Rh4'
_space_group_name_H-M_alt 'I 4/m m m'
_space_group_IT_number 139
_space_group_name_Hall '-I 4 2'
_cell_length_a 3.513
_cell_length_b 3.513
_cell_length_c 12.613
_cell_angle_alpha 90.00
_cell_angle_beta 90.00
_cell_angle_gamma 90.00
loop_
_atom_site_label
_atom_site_fract_x
_atom_site_fract_y
_atom_site_fract_z
_atom_site_occupancy
Re1 0.000 0.000 0.000 1
Ru1 0.000 0.000 0.404 1
Rh1 0.000 0.500 0.250 1
```

Volume ... 155.6 Å³ per cell
VASP energy ... -42.40 eV/f.u.
Formation enthalpy at 0 K ... 0.66 eV/atom
Distance to the lowest polymorph of the same formula ... 665.1 meV per atom

=====

[9]
Below is La2Pu2S7 after structural relaxation, with properties calculated at the PBE level.

CIF file:
```
data_La2Pu2S7
_chemical_formula_sum 'La2 Pu2 S7'
_space_group_name_H-M_alt 'P -4 m 2'
_space_group_IT_number 115
_cell_length_a 4.649
_cell_length_b 4.649
_cell_length_c 13.366
_cell_angle_alpha 90.00
_cell_angle_beta 90.00
_cell_angle_gamma 90.00
loop_
_space_group_symop_operation_xyz
'x,y,z'
'y,-x,-z'
'-x,-y,z'
'-y,x,-z'
'-x,y,z'
'-y,-x,-z'
'x,-y,z'
'y,x,-z'
loop_
_atom_site_label
_atom_site_fract_x
_atom_site_fract_y
_atom_site_fract_z
_atom_site_occupancy
La1 0.000 0.500 0.145 1
Pu1 0.000 0.500 0.618 1
S1 0.000 0.000 0.256 1
S2 0.000 0.000 0.500 1
S3 0.500 0.500 0.000 1
S4 0.500 0.500 0.268 1
S5 0.500 0.500 0.500 1
```

Volume ... 288.9 Å³ per cell
Energy relative to the elements, uncorrected ... -18.24 eV/f.u.
VASP energy ... -85.65 eV/f.u.

=====

[10]
Below is SiAg2Pd2 after structural relaxation, with properties calculated at the PBE level.

CIF file:
```
data_SiAg2Pd2
_chemical_formula_sum 'Si2 Ag4 Pd4'
_space_group_name_H-M_alt 'P 4/m b m'
_space_group_IT_number 127
_space_group_name_Hall '-P 4 2ab'
_cell_length_a 6.162
_cell_length_b 6.162
_cell_length_c 4.527
_cell_angle_alpha 90.00
_cell_angle_beta 90.00
_cell_angle_gamma 90.00
loop_
_atom_site_label
_atom_site_fract_x
_atom_site_fract_y
_atom_site_fract_z
_atom_site_occupancy
Si1 0.000 0.000 0.000 1
Ag1 0.162 0.338 0.500 1
Pd1 0.154 0.654 0.000 1
```

Volume ... 171.9 Å³ per cell
Energy relative to the elements, uncorrected ... -0.88 eV/f.u.
VASP energy ... -22.40 eV/f.u.
Distance to the lowest polymorph of the same formula ... 0.0 meV per atom

=====

[11]
Below is Li3ZnRe after structural relaxation, with properties calculated at the PBE level.

CIF file:
```
data_Li3ZnRe
_chemical_formula_sum 'Li3 Zn1 Re1'
_space_group_name_H-M_alt 'P m -3 m'
_space_group_IT_number 221
_space_group_name_Hall '-P 4 2 3'
_cell_length_a 4.940
_cell_length_b 4.940
_cell_length_c 4.940
_cell_angle_alpha 90.00
_cell_angle_beta 90.00
_cell_angle_gamma 90.00
loop_
_atom_site_label
_atom_site_fract_x
_atom_site_fract_y
_atom_site_fract_z
_atom_site_occupancy
Li1 0.000 0.000 0.500 1
Zn1 0.500 0.500 0.500 1
Re1 0.000 0.000 0.000 1
```

Volume ... 120.6 Å³ per cell
VASP energy ... -12.74 eV/f.u.
Formation enthalpy at 0 K ... 1.35 eV/atom
Distance to the lowest polymorph of the same formula ... 176.2 meV per atom

=====

[12]
Below is ScGa3H after structural relaxation, with properties calculated at the PBE level.

CIF file:
```
data_ScGa3H
_chemical_formula_sum 'Sc1 Ga3 H1'
_space_group_name_H-M_alt 'P m -3 m'
_space_group_IT_number 221
_space_group_name_Hall '-P 4 2 3'
_cell_length_a 4.208
_cell_length_b 4.208
_cell_length_c 4.208
_cell_angle_alpha 90.00
_cell_angle_beta 90.00
_cell_angle_gamma 90.00
loop_
_atom_site_label
_atom_site_fract_x
_atom_site_fract_y
_atom_site_fract_z
_atom_site_occupancy
Sc1 0.000 0.000 0.000 1
Ga1 0.000 0.500 0.500 1
H1 0.500 0.500 0.500 1
```

Volume ... 74.5 Å³ per cell
VASP energy ... -19.54 eV/f.u.
Distance to the lowest polymorph of the same formula ... 0.0 meV per atom